RbCoSnSe3: relaxed, GGA-PBE.

The value obtained for the total moment is 3.01 μB per formula unit. The calculation puts the total energy at -25.47 eV per formula unit.

a = 7.781 Å, b = 7.781 Å, c = 11.273 Å
α = 90.00°, β = 90.00°, γ = 149.07°
Fractional coordinates of all 12 atoms:
Rb (0.237, 0.763, 0.750)
Rb (0.763, 0.237, 0.250)
Co (0.045, 0.955, 0.250)
Co (0.955, 0.045, 0.750)
Sn (0.500, 0.500, 0.000)
Sn (0.500, 0.500, 0.500)
Se (0.123, 0.877, 0.068)
Se (0.123, 0.877, 0.432)
Se (0.456, 0.544, 0.250)
Se (0.544, 0.456, 0.750)
Se (0.877, 0.123, 0.568)
Se (0.877, 0.123, 0.932)